# 1
This record from Alexandria describes an optimized crystal structure of KNi2Br. The functional is PBEsol.

Structure (CIF):
```
data_KNi2Br
_chemical_formula_sum 'K1 Ni2 Br1'
_cell_length_a 3.945
_cell_length_b 3.945
_cell_length_c 5.211
_cell_angle_alpha 90.00
_cell_angle_beta 90.00
_cell_angle_gamma 90.00
_symmetry_space_group_name_H-M 'P 4/m m m'
_symmetry_Int_Tables_number 123
_symmetry_space_group_name_Hall '-P 4 2'
loop_
_atom_site_label
_atom_site_type_symbol
_atom_site_fract_x
_atom_site_fract_y
_atom_site_fract_z
K1 K 0.000 0.000 0.000
Ni1 Ni 0.000 0.500 0.500
Br1 Br 0.500 0.500 0.000
```

Values from the calculation:
Calculated density, kg/m³: 4840
E_form (uncorrected), eV per formula unit: 2.81
Energy above the most stable polymorph in this dataset, meV per atom: 149

=====

# 2
This record from Alexandria describes an optimized crystal structure of KNiBr. The functional is PBEsol.

Structure (CIF):
```
data_KNiBr
_chemical_formula_sum 'K4 Ni4 Br4'
_cell_length_a 7.250
_cell_length_b 7.250
_cell_length_c 7.250
_cell_angle_alpha 90.00
_cell_angle_beta 90.00
_cell_angle_gamma 90.00
_symmetry_space_group_name_H-M 'F -4 3 m'
_symmetry_Int_Tables_number 216
_symmetry_space_group_name_Hall 'F -4 2 3'
loop_
_atom_site_label
_atom_site_type_symbol
_atom_site_fract_x
_atom_site_fract_y
_atom_site_fract_z
K1 K 0.000 0.000 0.000
Ni1 Ni 0.250 0.250 0.750
Br1 Br 0.250 0.250 0.250
```

Values from the calculation:
Calculated density, kg/m³: 3097
E_form (uncorrected), eV per formula unit: 1.74

=====

# 3
This record from Alexandria describes an optimized crystal structure of KNiOsBr2. The functional is PBEsol.

Structure (CIF):
```
data_KNiOsBr2
_chemical_formula_sum 'K1 Ni1 Os1 Br2'
_cell_length_a 5.554
_cell_length_b 5.554
_cell_length_c 4.738
_cell_angle_alpha 90.00
_cell_angle_beta 90.00
_cell_angle_gamma 90.00
_symmetry_space_group_name_H-M 'P 4/m m m'
_symmetry_Int_Tables_number 123
_symmetry_space_group_name_Hall '-P 4 2'
loop_
_atom_site_label
_atom_site_type_symbol
_atom_site_fract_x
_atom_site_fract_y
_atom_site_fract_z
K1 K 0.000 0.000 0.000
Ni1 Ni 0.000 0.000 0.500
Os1 Os 0.500 0.500 0.500
Br1 Br 0.000 0.500 0.000
```

Values from the calculation:
Calculated density, kg/m³: 5088
E_form (uncorrected), eV per formula unit: 10.01

=====

# 4
This record from Alexandria describes an optimized crystal structure of KNiSeBr2. The functional is PBEsol.

Structure (CIF):
```
data_KNiSeBr2
_chemical_formula_sum 'K1 Ni1 Se1 Br2'
_cell_length_a 5.156
_cell_length_b 5.156
_cell_length_c 4.560
_cell_angle_alpha 90.00
_cell_angle_beta 90.00
_cell_angle_gamma 90.00
_symmetry_space_group_name_H-M 'P 4/m m m'
_symmetry_Int_Tables_number 123
_symmetry_space_group_name_Hall '-P 4 2'
loop_
_atom_site_label
_atom_site_type_symbol
_atom_site_fract_x
_atom_site_fract_y
_atom_site_fract_z
K1 K 0.000 0.000 0.000
Ni1 Ni 0.500 0.500 0.500
Se1 Se 0.500 0.500 0.000
Br1 Br 0.000 0.500 0.500
```

Values from the calculation:
Calculated density, kg/m³: 4611
E_form (uncorrected), eV per formula unit: -2.97